Arrangement one

A plane-wave DFT calculation with PBE-GGA was carried out for NdCd2In after structural relaxation.

The structure belongs to space group Cmmm (No. 65); the cell edges are 5.951, 10.645 and 3.375 Å and the angles 90.00°, 90.00° and 90.00°. The inequivalent atoms are Nd at (0.000, 0.000, 0.000), Cd at (0.250, 0.250, 0.500) and In at (0.000, 0.500, 0.500).

The calculated volume is 106.9 Å³/f.u.

---

Arrangement two

A plane-wave DFT calculation with PBE-GGA was carried out for NdCd2In after structural relaxation.

The structure belongs to space group Fm-3m (No. 225); the cell edges are 7.393, 7.393 and 7.393 Å and the angles 90.00°, 90.00° and 90.00°. The inequivalent atoms are Nd at (0.000, 0.000, 0.000), Cd at (0.250, 0.250, 0.250) and In at (0.000, 0.000, 0.500).

The calculated volume is 101.0 Å³/f.u.

---

Stability, lowest: arrangement one